Compound: PmCr3O12
Source: Alexandria via LeMat-Bulk
Functional: GGA+U
Structure: relaxed

Cell lengths 8.537, 8.537, 10.424 Å; angles 65.83, 65.83, 60.00 degrees
Site moments in Bohr magnetons follow the coordinates.
Element x y z (fractional)
Pm 0.058 0.058 0.826  -0.02
Pm 0.558 0.558 0.326  -0.02
Cr 0.689 0.337 0.002  -0.33
Cr 0.189 0.471 0.502  -0.33
Cr 0.837 0.189 0.502  -0.33
Cr 0.337 0.971 0.002  -0.33
Cr 0.971 0.689 0.002  -0.33
Cr 0.471 0.837 0.502  -0.33
O 0.106 0.100 0.034  0.26
O 0.180 0.282 0.640  0.26
O 0.946 0.985 0.466  0.36
O 0.851 0.386 0.853  0.22
O 0.351 0.411 0.353  0.22
O 0.446 0.103 0.966  0.36
O 0.680 0.398 0.140  0.26
O 0.985 0.603 0.466  0.36
O 0.606 0.260 0.534  0.26
O 0.898 0.180 0.640  0.26
O 0.886 0.351 0.353  0.22
O 0.260 0.600 0.534  0.26
O 0.103 0.485 0.966  0.36
O 0.760 0.106 0.034  0.26
O 0.386 0.911 0.853  0.22
O 0.398 0.782 0.140  0.26
O 0.782 0.680 0.140  0.26
O 0.485 0.446 0.966  0.36
O 0.600 0.606 0.534  0.26
O 0.911 0.851 0.853  0.22
O 0.411 0.886 0.353  0.22
O 0.100 0.760 0.034  0.26
O 0.282 0.898 0.640  0.26
O 0.603 0.946 0.466  0.36

- space group = R3c, No. 161
- E_tot (eV for the cell shown) = -210.24
- DOS(E_F) (states/eV per cell) = 22.162
- magnetization (μB/atom) = 0.188